Compound: CaPr2Au6
Source: the Alexandria database
Functional: PBE
Structure: relaxed

Cell lengths 8.2620, 8.2620, 3.6209 Å; angles 90.00, 90.00, 120.00 degrees
Positions (direct):
Ca  0.0000  0.0000  0.0000
Pr  0.3333  0.6667  0.0000
Pr  0.6667  0.3333  0.0000
Au  0.0000  0.3322  0.5000
Au  0.0000  0.6678  0.5000
Au  0.3322  0.0000  0.5000
Au  0.3322  0.3322  0.5000
Au  0.6678  0.0000  0.5000
Au  0.6678  0.6678  0.5000

Summary:
SG: No. 191
Energy of formation: -6.6 eV/f.u.
D(E_F): 4.89 states/eV/cell